# GGA+U Cr2FeReO8, relaxed
data_Cr2FeReO8
_symmetry_space_group_name_H-M 'C m m m'
_symmetry_Int_Tables_number 65
_symmetry_space_group_name_Hall '-C 2 2'
_cell_length_a 6.436
_cell_length_b 6.644
_cell_length_c 6.102
_cell_angle_alpha 90.00
_cell_angle_beta 90.00
_cell_angle_gamma 90.00
loop_
_atom_site_label
_atom_site_type_symbol
_atom_site_fract_x
_atom_site_fract_y
_atom_site_fract_z
Cr1 Cr 0.000 0.000 0.245
Fe1 Fe 0.000 0.500 0.000
Re1 Re 0.000 0.500 0.500
O1 O 0.000 0.307 0.273
O2 O 0.200 0.000 0.000
O3 O 0.202 0.000 0.500
# M_tot = 0.914 μB/atom
# total energy = -92.4 eV/f.u.
# density = 6.0 g cm⁻³